(1)
Material: Ac4OsBr2O
Method: DFT, PBE-GGA
State: optimized geometry

Cell and atoms, written as extended XYZ:
```
8
Lattice="-3.9691 1.2688 0.4484 -0.2673 -3.0864 6.3671 2.7254 8.1154 1.1620" Properties=species:S:1:pos:R:3 pbc="T T T"
Ac -1.5271 1.4883 1.8572
Ac 0.0162 4.8095 6.1203
Ac 2.1383 5.7992 2.5187
Ac 0.3199 -0.7702 5.0105
Os -2.1182 -0.9088 3.4078
Br -0.6218 4.6921 0.8052
Br 1.2291 2.5145 3.7646
O 0.0000 0.0000 0.0000
```

Calculated values
* ρ: 8.7 g/cm3
* formation energy from raw total energies: -1279 meV per atom

***

(2)
Material: Na2SiBiCO7
Method: DFT, PBE-GGA
State: optimized geometry

Cell and atoms, written as extended XYZ:
```
24
Lattice="-5.8912 -1.9157 3.1370 1.5750 -5.1576 -0.1919 4.1541 0.9406 8.3755" Properties=species:S:1:pos:R:3 pbc="T T T"
Na 3.5875 -0.5294 6.5341
Na 0.7341 -1.4573 8.0535
Na -0.8962 -4.6755 3.2671
Na -3.7496 -5.6034 4.7865
Si 2.0764 -3.6064 5.5396
Si -2.2385 -2.5263 5.7810
Bi -0.5609 -4.9473 7.4531
Bi 0.3988 -1.1854 3.8675
C 0.5675 -4.3681 9.9259
C -0.7296 -1.7647 1.3947
O 2.9229 -1.1107 8.6534
O 0.6579 -5.5578 9.3691
O -0.1054 -3.4578 9.2181
O 3.7085 -3.7855 5.6383
O 1.5185 -4.4977 6.8045
O -1.6646 -1.9331 7.2212
O 1.6237 -2.0211 5.6575
O -1.7858 -4.1117 5.6631
O 1.5024 -4.1997 4.0994
O -1.6806 -1.6350 4.5162
O -3.8706 -2.3472 5.6823
O -0.0567 -2.6749 2.1025
O -0.8200 -0.5750 1.9515
O -3.0850 -5.0221 2.6672
```

Calculated values
* ρ: 3.8 g/cm3
* formation energy from raw total energies: -1784 meV per atom

***

(3)
Material: MgNpFeRu
Method: DFT, PBE-GGA
State: optimized geometry

Cell and atoms, written as extended XYZ:
```
4
Lattice="-2.7470 3.0640 -1.9171 -3.2860 1.9505 2.4509 0.3251 4.3780 1.1561" Properties=species:S:1:pos:R:3 pbc="T T T"
Np -2.8540 4.6963 0.8450
Ru -4.2809 7.0444 1.2675
Mg 0.0000 0.0000 0.0000
Fe -1.4270 2.3481 0.4225
```

Calculated values
* ρ: 10.5 g/cm3
* formation energy: 0.055 eV/atom

***

(4)
Material: Dy3Lu
Method: DFT, PBE-GGA
State: optimized geometry

Cell and atoms, written as extended XYZ:
```
4
Lattice="-1.6394 -1.5382 2.8031 5.3299 0.1198 3.1830 -3.1539 5.7514 -0.9914" Properties=species:S:1:pos:R:3 pbc="T T T"
Lu 0.0067 0.0002 0.0040
Dy 1.1177 2.5751 2.0669
Dy 1.8404 -0.7093 2.9901
Dy -2.3596 1.7179 1.8657
```

Calculated values
* ρ: 8.8 g/cm3
* E above lowest polymorph: 0.000 eV/atom
* formation energy: 0.004 eV/atom